(1)
Below is a PBEsol-optimized structure of BaSc2Cd, with properties calculated at the meta-GGA SCAN level.

Geometry as extended XYZ:
```
4
Lattice="1.730 0.999 10.855 -1.730 0.999 10.855 0.000 -1.998 10.855" Properties=species:S:1:pos:R:3 pbc="T T T"
Ba 0.000 0.000 0.000
Sc 0.000 0.000 16.510
Sc 0.000 0.000 24.900
Cd 0.000 0.000 7.964
```

**Total moment**: 1.27 μB/cell
**Crystal system**: trigonal
**E_form**: 14 kJ/mol of atoms
**Space-group type**: R3m
**Calculated volume**: 28.14 A^3/atom
**Uncorrected energy**: -24.4614 eV per atom
**D(E_F)**: 3.9 states/eV/f.u.

---

(2)
Below is a PBEsol-optimized structure of BaScCd, with properties calculated at the meta-GGA SCAN level.

Geometry as extended XYZ:
```
3
Lattice="5.240 0.000 0.000 -2.620 4.538 0.000 0.000 0.000 3.956" Properties=species:S:1:pos:R:3 pbc="T T T"
Ba 0.000 0.000 0.000
Sc 2.620 1.513 1.978
Cd 0.000 3.025 1.978
```

**Total moment**: 0.00 μB/cell
**Crystal system**: hexagonal
**E_form**: 6 kJ/mol of atoms
**Space-group type**: P-6m2
**Calculated volume**: 31.35 A^3/atom
**Uncorrected energy**: -28.0049 eV per atom
**D(E_F)**: 3.2 states/eV/f.u.

---

(3)
Below is a PBEsol-optimized structure of BaScCd2, with properties calculated at the meta-GGA SCAN level.

Geometry as extended XYZ:
```
4
Lattice="0.000 3.736 3.736 3.736 0.000 3.736 3.736 3.736 0.000" Properties=species:S:1:pos:R:3 pbc="T T T"
Ba 0.000 0.000 0.000
Sc 5.604 5.604 5.604
Cd 1.868 1.868 1.868
Cd 3.736 3.736 3.736
```

**Total moment**: 0.00 μB/cell
**Crystal system**: cubic
**E_form**: 5 kJ/mol of atoms
**Space-group type**: F-43m
**Calculated volume**: 26.07 A^3/atom
**Uncorrected energy**: -28.5983 eV per atom
**D(E_F)**: 3.6 states/eV/f.u.

---

(4)
Below is a PBEsol-optimized structure of BaScCd2, with properties calculated at the meta-GGA SCAN level.

Geometry as extended XYZ:
```
4
Lattice="0.000 3.829 3.829 3.829 0.000 3.829 3.829 3.829 0.000" Properties=species:S:1:pos:R:3 pbc="T T T"
Ba 0.000 0.000 0.000
Sc 3.829 3.829 3.829
Cd 1.914 1.914 1.914
Cd 5.743 5.743 5.743
```

**Total moment**: 0.00 μB/cell
**Crystal system**: cubic
**E_form**: -14 kJ/mol of atoms
**Space-group type**: Fm-3m
**Calculated volume**: 28.06 A^3/atom
**Uncorrected energy**: -28.7971 eV per atom
**D(E_F)**: 3.1 states/eV/f.u.

---

(5)
Below is a PBEsol-optimized structure of Ba2CdSe, with properties calculated at the meta-GGA SCAN level.

Geometry as extended XYZ:
```
4
Lattice="-2.070 2.176 8.571 2.070 -2.176 8.571 2.070 2.176 -8.571" Properties=species:S:1:pos:R:3 pbc="T T T"
Ba 0.000 0.000 0.000
Ba 0.000 2.176 3.818
Cd 2.070 0.000 5.652
Se 0.000 0.000 9.825
```

**Total moment**: 0.00 μB/cell
**Crystal system**: orthorhombic
**Space-group type**: Imm2
**Calculated volume**: 38.61 A^3/atom
**ΔE_f (raw)**: -1.097 eV per atom
**Uncorrected energy**: -33.4953 eV per atom
**D(E_F)**: 3.0 states/eV/f.u.

---

(6)
Below is a PBEsol-optimized structure of BaCdSe4, with properties calculated at the meta-GGA SCAN level.

Geometry as extended XYZ:
```
6
Lattice="0.000 4.180 4.180 4.180 0.000 4.180 4.180 4.180 0.000" Properties=species:S:1:pos:R:3 pbc="T T T"
Ba 0.000 0.000 0.000
Cd 2.090 2.090 2.090
Se 5.209 3.152 3.152
Se 3.152 5.209 3.152
Se 3.152 3.152 5.209
Se 5.209 5.209 5.209
```

**Total moment**: 0.00 μB/cell
**Crystal system**: cubic
**Space-group type**: F-43m
**Calculated volume**: 24.35 A^3/atom
**ΔE_f (raw)**: -0.357 eV per atom
**Uncorrected energy**: -25.4038 eV per atom
**D(E_F)**: 3.1 states/eV/f.u.

---

(7)
Below is a PBEsol-optimized structure of BaCd4Se, with properties calculated at the meta-GGA SCAN level.

Geometry as extended XYZ:
```
6
Lattice="0.000 4.272 4.272 4.272 0.000 4.272 4.272 4.272 0.000" Properties=species:S:1:pos:R:3 pbc="T T T"
Ba 0.000 0.000 0.000
Cd 3.216 3.216 3.216
Cd 5.328 5.328 3.216
Cd 5.328 3.216 5.328
Cd 3.216 5.328 5.328
Se 6.407 6.407 6.407
```

**Total moment**: 0.00 μB/cell
**Crystal system**: cubic
**Space-group type**: F-43m
**Calculated volume**: 25.98 A^3/atom
**ΔE_f (raw)**: -0.261 eV per atom
**Uncorrected energy**: -30.4749 eV per atom
**D(E_F)**: 2.1 states/eV/f.u.

---

(8)
Below is a PBEsol-optimized structure of Ba2CdSe, with properties calculated at the meta-GGA SCAN level.

Geometry as extended XYZ:
```
4
Lattice="-2.362 2.362 6.106 2.362 -2.362 6.106 2.362 2.362 -6.106" Properties=species:S:1:pos:R:3 pbc="T T T"
Ba 0.000 0.000 0.000
Ba 0.000 2.362 3.053
Cd 0.000 0.000 6.106
Se 2.362 0.000 3.053
```

**Total moment**: 0.00 μB/cell
**Crystal system**: tetragonal
**Space-group type**: I-4m2
**Calculated volume**: 34.06 A^3/atom
**ΔE_f (raw)**: -0.933 eV per atom
**Uncorrected energy**: -33.3316 eV per atom
**D(E_F)**: 1.6 states/eV/f.u.

---

(9)
Below is a PBEsol-optimized structure of BaCd2Se2, with properties calculated at the meta-GGA SCAN level.

Geometry as extended XYZ:
```
5
Lattice="-2.093 2.093 7.582 2.093 -2.093 7.582 2.093 2.093 -7.582" Properties=species:S:1:pos:R:3 pbc="T T T"
Ba 0.000 0.000 0.000
Cd 2.093 0.000 3.791
Cd 0.000 2.093 3.791
Se 0.000 0.000 6.069
Se 0.000 0.000 9.094
```

**Total moment**: 0.00 μB/cell
**Crystal system**: tetragonal
**Space-group type**: I4/mmm
**Calculated volume**: 26.56 A^3/atom
**ΔE_f (raw)**: -0.839 eV per atom
**Uncorrected energy**: -28.9466 eV per atom
**D(E_F)**: 1.8 states/eV/f.u.

---

(10)
Below is a PBEsol-optimized structure of Ba2CdSe, with properties calculated at the meta-GGA SCAN level.

Geometry as extended XYZ:
```
4
Lattice="3.981 -4.037 0.000 3.981 4.037 0.000 0.000 0.000 4.074" Properties=species:S:1:pos:R:3 pbc="T T T"
Ba 1.991 2.018 0.000
Ba 1.991 -2.018 0.000
Cd 0.000 0.000 2.037
Se 3.981 0.000 2.037
```

**Total moment**: 0.00 μB/cell
**Crystal system**: orthorhombic
**Space-group type**: Cmmm
**Calculated volume**: 32.74 A^3/atom
**ΔE_f (raw)**: -1.078 eV per atom
**Uncorrected energy**: -33.4766 eV per atom
**D(E_F)**: 2.1 states/eV/f.u.

---

(11)
Below is a PBEsol-optimized structure of BaCd2Si, with properties calculated at the meta-GGA SCAN level.

Geometry as extended XYZ:
```
4
Lattice="3.619 0.000 0.000 0.000 3.619 0.000 0.000 0.000 7.808" Properties=species:S:1:pos:R:3 pbc="T T T"
Ba 0.000 0.000 0.000
Cd 1.810 1.810 2.430
Cd 1.810 1.810 5.378
Si 0.000 0.000 3.904
```

**Total moment**: 0.00 μB/cell
**Crystal system**: tetragonal
**Space-group type**: P4/mmm
**Calculated volume**: 25.57 A^3/atom
**ΔE_f (raw)**: 0.088 eV per atom
**Uncorrected energy**: -27.5102 eV per atom
**D(E_F)**: 2.1 states/eV/f.u.

---

(12)
Below is a PBEsol-optimized structure of BaCdSi4, with properties calculated at the meta-GGA SCAN level.

Geometry as extended XYZ:
```
6
Lattice="0.000 3.913 3.913 3.913 0.000 3.913 3.913 3.913 0.000" Properties=species:S:1:pos:R:3 pbc="T T T"
Ba 0.000 0.000 0.000
Cd 1.957 1.957 1.957
Si 4.841 2.985 2.985
Si 2.985 4.841 2.985
Si 2.985 2.985 4.841
Si 4.841 4.841 4.841
```

**Total moment**: 0.00 μB/cell
**Crystal system**: cubic
**Space-group type**: F-43m
**Calculated volume**: 19.98 A^3/atom
**ΔE_f (raw)**: 0.293 eV per atom
**Uncorrected energy**: -18.0445 eV per atom
**D(E_F)**: 3.0 states/eV/f.u.

---

(13)
Below is a PBEsol-optimized structure of BaCdSi, with properties calculated at the meta-GGA SCAN level.

Geometry as extended XYZ:
```
6
Lattice="-2.017 2.529 8.153 2.017 -2.529 8.153 2.017 2.529 -8.153" Properties=species:S:1:pos:R:3 pbc="T T T"
Ba 0.000 1.265 2.309
Ba 2.017 1.265 5.844
Cd 2.017 1.265 -0.691
Cd 0.000 1.265 8.844
Si 2.017 1.265 -3.416
Si 0.000 1.265 11.568
```

**Total moment**: 0.00 μB/cell
**Crystal system**: orthorhombic
**Space-group type**: Imma
**Calculated volume**: 27.73 A^3/atom
**ΔE_f (raw)**: -0.414 eV per atom
**Uncorrected energy**: -27.0745 eV per atom
**D(E_F)**: 1.4 states/eV/f.u.

---

(14)
Below is a PBEsol-optimized structure of BaCd2Si, with properties calculated at the meta-GGA SCAN level.

Geometry as extended XYZ:
```
4
Lattice="3.673 0.000 0.000 0.000 3.673 0.000 0.000 0.000 7.570" Properties=species:S:1:pos:R:3 pbc="T T T"
Ba 0.000 0.000 0.000
Cd 0.000 0.000 4.052
Cd 1.837 1.837 2.466
Si 1.837 1.837 5.308
```

**Total moment**: 0.00 μB/cell
**Crystal system**: tetragonal
**Space-group type**: P4mm
**Calculated volume**: 25.53 A^3/atom
**ΔE_f (raw)**: -0.010 eV per atom
**Uncorrected energy**: -27.6089 eV per atom
**D(E_F)**: 1.9 states/eV/f.u.

---

(15)
Below is a PBEsol-optimized structure of BaCd2Si, with properties calculated at the meta-GGA SCAN level.

Geometry as extended XYZ:
```
4
Lattice="0.000 3.706 3.706 3.706 0.000 3.706 3.706 3.706 0.000" Properties=species:S:1:pos:R:3 pbc="T T T"
Ba 0.000 0.000 0.000
Cd 3.706 3.706 3.706
Cd 5.559 5.559 5.559
Si 1.853 1.853 1.853
```

**Total moment**: 0.00 μB/cell
**Crystal system**: cubic
**Space-group type**: F-43m
**Calculated volume**: 25.45 A^3/atom
**ΔE_f (raw)**: 0.010 eV per atom
**Uncorrected energy**: -27.5882 eV per atom
**D(E_F)**: 0.9 states/eV/f.u.

---

(16)
Below is a PBEsol-optimized structure of BaCdSi, with properties calculated at the meta-GGA SCAN level.

Geometry as extended XYZ:
```
3
Lattice="4.536 0.000 0.000 -2.268 3.928 0.000 0.000 0.000 4.872" Properties=species:S:1:pos:R:3 pbc="T T T"
Ba 0.000 0.000 0.000
Cd 0.000 2.619 2.436
Si 2.268 1.309 2.436
```

**Total moment**: 0.00 μB/cell
**Crystal system**: hexagonal
**Space-group type**: P-6m2
**Calculated volume**: 28.94 A^3/atom
**ΔE_f (raw)**: -0.390 eV per atom
**Uncorrected energy**: -27.0505 eV per atom
**D(E_F)**: 0.7 states/eV/f.u.

---

(17)
Below is a PBEsol-optimized structure of Ba2CdSi, with properties calculated at the meta-GGA SCAN level.

Geometry as extended XYZ:
```
4
Lattice="4.615 0.000 0.000 0.000 2.432 6.151 0.000 -2.432 6.151" Properties=species:S:1:pos:R:3 pbc="T T T"
Ba 0.000 0.000 0.000
Ba 2.308 0.000 3.510
Cd 0.000 0.000 8.572
Si 2.308 0.000 7.094
```

**Total moment**: 0.00 μB/cell
**Crystal system**: orthorhombic
**Space-group type**: Amm2
**Calculated volume**: 34.53 A^3/atom
**ΔE_f (raw)**: -0.346 eV per atom
**Uncorrected energy**: -30.2287 eV per atom
**D(E_F)**: 2.3 states/eV/f.u.

---

(18)
Below is a PBEsol-optimized structure of BaCdSn3, with properties calculated at the meta-GGA SCAN level.

Geometry as extended XYZ:
```
5
Lattice="5.512 0.000 0.000 0.000 5.512 0.000 0.000 0.000 5.512" Properties=species:S:1:pos:R:3 pbc="T T T"
Ba 0.000 0.000 0.000
Cd 2.756 2.756 2.756
Sn 0.000 2.756 2.756
Sn 2.756 0.000 2.756
Sn 2.756 2.756 0.000
```

**Total moment**: 0.00 μB/cell
**Crystal system**: cubic
**E_form**: -1 kJ/mol of atoms
**Space-group type**: Pm-3m
**Calculated volume**: 33.49 A^3/atom
**Uncorrected energy**: -35.5571 eV per atom
**D(E_F)**: 2.7 states/eV/f.u.

---

(19)
Below is a PBEsol-optimized structure of BaCdSn, with properties calculated at the meta-GGA SCAN level.

Geometry as extended XYZ:
```
6
Lattice="5.917 -2.585 0.000 5.917 2.585 0.000 -5.871 0.000 5.988" Properties=species:S:1:pos:R:3 pbc="T T T"
Ba -1.178 0.000 1.793
Ba 7.140 0.000 4.195
Cd 2.428 0.000 1.648
Cd 3.534 0.000 4.341
Sn -1.293 0.000 5.403
Sn 7.256 0.000 0.586
```

**Total moment**: 0.00 μB/cell
**Crystal system**: monoclinic
**E_form**: -62 kJ/mol of atoms
**Space-group type**: C2/m
**Calculated volume**: 30.52 A^3/atom
**Uncorrected energy**: -35.9354 eV per atom
**D(E_F)**: 0.4 states/eV/f.u.

---

(20)
Below is a PBEsol-optimized structure of BaSrCd, with properties calculated at the meta-GGA SCAN level.

Geometry as extended XYZ:
```
3
Lattice="-2.049 2.049 7.254 2.049 -2.049 7.254 2.049 2.049 -7.254" Properties=species:S:1:pos:R:3 pbc="T T T"
Ba 0.000 0.000 0.000
Sr 0.000 0.000 3.918
Cd 0.000 0.000 9.346
```

**Total moment**: 0.02 μB/cell
**Crystal system**: tetragonal
**E_form**: -27 kJ/mol of atoms
**Space-group type**: I4mm
**Calculated volume**: 40.60 A^3/atom
**Uncorrected energy**: -31.0288 eV per atom
**D(E_F)**: 3.0 states/eV/f.u.